[1]
The following is a PBE-GGA calculation of crystalline NdTlBi at its relaxed geometry, from the Open Quantum Materials Database.

abc: 5.3162 5.3162 5.3162
angles: 60.00 60.00 60.00
Fractional coordinates of all 3 atoms:
Tl 0.7500 0.7500 0.7500
Bi 0.2500 0.2500 0.2500
Nd 0.0000 0.0000 0.0000

Summary:
* volume: 106 Å³/f.u.
* theoretical density: 8.7 g/cm3
* energy above the most stable polymorph in this dataset: 0 meV per atom
* magnetization: 0.00 μB/atom
* space-group type: No. 216

---

[2]
The following is a PBE-GGA calculation of crystalline NdTlBi at its relaxed geometry, from the Open Quantum Materials Database.

abc: 5.2822 5.2822 5.2822
angles: 60.00 60.00 60.00
Fractional coordinates of all 3 atoms:
Bi 0.2500 0.2500 0.2500
Tl 0.0000 0.0000 0.0000
Nd 0.7500 0.7500 0.7500

Summary:
* volume: 104 Å³/f.u.
* theoretical density: 8.9 g/cm3
* energy above the most stable polymorph in this dataset: 62 meV per atom
* magnetization: 0.00 μB/atom
* space-group type: No. 216

---

[3]
The following is a PBE-GGA calculation of crystalline Nd3Zr6Bi at its relaxed geometry, from the Open Quantum Materials Database.

abc: 8.1086 8.1086 8.1086
angles: 123.90 123.90 83.36
Fractional coordinates of all 10 atoms:
Bi 0.0000 0.0000 0.0000
Zr 0.2382 0.2382 0.0000
Zr 0.3486 0.0000 0.3486
Zr 0.0000 0.3486 0.3486
Zr 0.0000 0.6514 0.6514
Nd 0.2500 0.7500 0.5000
Nd 0.7500 0.2500 0.5000
Zr 0.6514 0.0000 0.6514
Zr 0.7618 0.7618 0.0000
Nd 0.5000 0.5000 0.0000

Summary:
* volume: 352 Å³/f.u.
* theoretical density: 5.6 g/cm3
* magnetization: 0.27 μB/atom
* raw total energy: -5.7364 eV/atom
* space-group type: No. 139

---

[4]
The following is a PBE-GGA calculation of crystalline Ni9Bi at its relaxed geometry, from the Open Quantum Materials Database.

abc: 2.8433 2.8433 37.3236
angles: 90.00 90.00 90.00
Fractional coordinates of all 20 atoms:
Ni 0.5000 0.0000 0.6974
Ni 0.5000 0.0000 0.1948
Ni 0.0000 0.5000 0.6618
Ni 0.5000 0.0000 0.7673
Ni 0.0000 0.5000 0.4460
Ni 0.5000 0.0000 0.3382
Ni 0.0000 0.5000 0.3739
Ni 0.0000 0.5000 0.2327
Ni 0.0000 0.5000 0.5182
Ni 0.0000 0.5000 0.7325
Ni 0.5000 0.0000 0.2675
Ni 0.5000 0.0000 0.4818
Ni 0.0000 0.5000 0.3026
Bi 0.0000 0.5000 0.1426
Ni 0.5000 0.0000 0.6261
Ni 0.0000 0.5000 0.8052
Ni 0.5000 0.0000 0.4096
Bi 0.5000 0.0000 0.8574
Ni 0.5000 0.0000 0.5540
Ni 0.0000 0.5000 0.5904

Summary:
* volume: 151 Å³/f.u.
* theoretical density: 8.1 g/cm3
* energy above the most stable polymorph in this dataset: 68 meV per atom
* magnetization: 0.05 μB/atom
* space-group type: No. 129

---

[5]
The following is a PBE-GGA calculation of crystalline NiBi2 at its relaxed geometry, from the Open Quantum Materials Database.

abc: 4.7178 4.7178 4.7178
angles: 60.00 60.00 60.00
Fractional coordinates of all 3 atoms:
Bi 0.7500 0.7500 0.7500
Bi 0.2500 0.2500 0.2500
Ni 0.0000 0.0000 0.0000

Summary:
* volume: 74 Å³/f.u.
* theoretical density: 10.7 g/cm3
* magnetization: 0.00 μB/atom
* raw total energy: -4.5414 eV/atom
* space-group type: No. 225

---

[6]
The following is a PBE-GGA calculation of crystalline NiBi2 at its relaxed geometry, from the Open Quantum Materials Database.

abc: 5.6684 5.6684 5.6684
angles: 118.03 105.37 105.37
Fractional coordinates of all 6 atoms:
Bi 0.5000 0.1701 0.3299
Ni 0.0000 0.7500 0.7500
Bi 0.1597 0.3299 0.8299
Ni 0.0000 0.2500 0.2500
Bi 0.8403 0.6701 0.1701
Bi 0.5000 0.8299 0.6701

Summary:
* volume: 69 Å³/f.u.
* theoretical density: 11.5 g/cm3
* magnetization: 0.00 μB/atom
* raw total energy: -4.4786 eV/atom
* space-group type: No. 140

---

[7]
The following is a PBE-GGA calculation of crystalline Ni17Bi at its relaxed geometry, from the Open Quantum Materials Database.

abc: 4.2735 4.9314 24.6263
angles: 90.00 90.02 90.00
Fractional coordinates of all 36 atoms:
Ni 0.0009 0.5000 0.2540
Ni 0.8344 0.2496 0.3354
Ni 0.8316 0.7526 0.8272
Ni 0.6662 0.5000 0.6645
Ni 0.6645 0.0000 0.6643
Ni 0.3281 0.0000 0.8274
Ni 0.9993 0.0000 0.7459
Ni 0.9999 0.0000 0.4998
Ni 0.3334 0.5000 0.5826
Ni 0.0022 0.5000 0.7472
Ni 0.1655 0.7495 0.6644
Ni 0.5022 0.2478 0.2533
Ni 0.0002 0.5000 0.4999
Ni 0.4999 0.2500 0.4998
Ni 0.1668 0.2500 0.4180
Bi 0.3330 0.5000 0.8731
Ni 0.1684 0.7474 0.1728
Ni 0.4999 0.7500 0.4998
Ni 0.4982 0.2520 0.7466
Ni 0.1668 0.7500 0.4180
Ni 0.8330 0.2500 0.5824
Ni 0.5022 0.7522 0.2533
Ni 0.3353 0.5000 0.3355
Ni 0.9976 0.0000 0.2527
Ni 0.6666 0.0000 0.4179
Ni 0.4982 0.7480 0.7466
Ni 0.6718 0.5000 0.1726
Ni 0.3326 0.0000 0.5823
Ni 0.8330 0.7500 0.5824
Ni 0.1684 0.2526 0.1728
Bi 0.6673 0.0000 0.1271
Ni 0.8316 0.2474 0.8272
Ni 0.1655 0.2505 0.6644
Ni 0.8344 0.7504 0.3354
Ni 0.3339 0.0000 0.3353
Ni 0.6672 0.5000 0.4181

Summary:
* volume: 259 Å³/f.u.
* theoretical density: 7.7 g/cm3
* energy above the most stable polymorph in this dataset: 0 meV per atom
* magnetization: 0.54 μB/atom
* space-group type: No. 6

---

[8]
The following is a PBE-GGA calculation of crystalline Ni3Bi2 at its relaxed geometry, from the Open Quantum Materials Database.

abc: 6.4973 6.4973 6.4560
angles: 120.21 59.79 120.00
Fractional coordinates of all 10 atoms:
Ni 0.4743 0.7500 0.2500
Bi 0.1083 0.8917 0.6752
Bi 0.6083 0.3917 0.1752
Ni 0.2500 0.9743 0.2500
Ni 0.7500 0.0257 0.7500
Ni 0.9743 0.4743 0.7500
Bi 0.8917 0.1083 0.3248
Ni 0.5257 0.2500 0.7500
Ni 0.0257 0.5257 0.2500
Bi 0.3917 0.6083 0.8248

Summary:
* volume: 96 Å³/f.u.
* theoretical density: 10.3 g/cm3
* magnetization: 0.00 μB/atom
* raw total energy: -4.7073 eV/atom
* space-group type: No. 167

---

[9]
The following is a PBE-GGA calculation of crystalline NiBi3 at its relaxed geometry, from the Open Quantum Materials Database.

abc: 8.4602 8.4602 3.6396
angles: 90.00 90.00 120.00
Fractional coordinates of all 8 atoms:
Bi 0.8037 0.1963 0.7500
Bi 0.6074 0.8037 0.2500
Ni 0.3333 0.6667 0.7500
Bi 0.1963 0.3926 0.2500
Bi 0.1963 0.8037 0.2500
Bi 0.8037 0.6074 0.7500
Ni 0.6667 0.3333 0.2500
Bi 0.3926 0.1963 0.7500

Summary:
* volume: 113 Å³/f.u.
* theoretical density: 10.1 g/cm3
* energy above the most stable polymorph in this dataset: 0 meV per atom
* magnetization: 0.00 μB/atom
* space-group type: No. 194

---

[10]
The following is a PBE-GGA calculation of crystalline Ni9Bi at its relaxed geometry, from the Open Quantum Materials Database.

abc: 2.7110 3.3433 36.8112
angles: 90.00 90.00 90.00
Fractional coordinates of all 20 atoms:
Ni 0.5000 0.5000 0.7163
Ni 0.0000 0.0000 0.8835
Ni 0.0000 0.0000 0.2838
Ni 0.5000 0.5000 0.8504
Ni 0.5000 0.5000 0.9833
Ni 0.5000 0.5000 0.7836
Ni 0.0000 0.0000 0.1496
Ni 0.5000 0.5000 0.2496
Bi 0.5000 0.5000 0.3302
Ni 0.5000 0.5000 0.1165
Ni 0.0000 0.0000 0.9501
Ni 0.0000 0.0000 0.7504
Bi 0.0000 0.0000 0.6698
Ni 0.5000 0.5000 0.1832
Ni 0.5000 0.5000 0.9168
Ni 0.0000 0.0000 0.2164
Ni 0.0000 0.0000 0.0167
Ni 0.0000 0.0000 0.8168
Ni 0.0000 0.0000 0.0832
Ni 0.5000 0.5000 0.0499

Summary:
* volume: 167 Å³/f.u.
* theoretical density: 7.3 g/cm3
* energy above the most stable polymorph in this dataset: 0 meV per atom
* magnetization: 0.49 μB/atom
* space-group type: No. 59

---

[11]
The following is a PBE-GGA calculation of crystalline NiBi2 at its relaxed geometry, from the Open Quantum Materials Database.

abc: 6.3020 6.3020 6.3020
angles: 60.00 60.00 60.00
Fractional coordinates of all 6 atoms:
Ni 0.2500 0.2500 0.2500
Bi 0.6250 0.6250 0.6250
Ni 0.0000 0.0000 0.0000
Bi 0.6250 0.1250 0.6250
Bi 0.6250 0.6250 0.1250
Bi 0.1250 0.6250 0.6250

Summary:
* volume: 88 Å³/f.u.
* theoretical density: 8.9 g/cm3
* magnetization: 0.15 μB/atom
* raw total energy: -3.5058 eV/atom
* space-group type: No. 227

---

[12]
The following is a PBE-GGA calculation of crystalline Ni15Bi at its relaxed geometry, from the Open Quantum Materials Database.

abc: 4.9778 3.5027 33.6780
angles: 90.00 90.01 90.00
Fractional coordinates of all 32 atoms:
Ni 0.6253 0.0000 0.5917
Ni 0.6250 0.0000 0.4450
Ni 0.8750 0.5000 0.5551
Ni 0.6240 0.0000 0.7396
Ni 0.3750 0.5000 0.7730
Ni 0.8750 0.5000 0.7027
Ni 0.8750 0.5000 0.6288
Ni 0.8753 0.5000 0.4083
Ni 0.3750 0.5000 0.5550
Ni 0.1250 0.0000 0.4450
Ni 0.1242 0.0000 0.6654
Ni 0.6250 0.0000 0.3716
Ni 0.3750 0.5000 0.7015
Ni 0.3750 0.5000 0.6283
Ni 0.1250 0.0000 0.2973
Bi 0.1250 0.0000 0.2074
Ni 0.6250 0.0000 0.2983
Ni 0.8741 0.5000 0.2604
Ni 0.6258 0.0000 0.6654
Ni 0.8750 0.5000 0.4817
Ni 0.6250 0.0000 0.2270
Bi 0.8750 0.5000 0.7927
Ni 0.3742 0.5000 0.3346
Ni 0.1250 0.0000 0.5184
Ni 0.8758 0.5000 0.3346
Ni 0.6250 0.0000 0.5184
Ni 0.1247 0.0000 0.5917
Ni 0.3750 0.5000 0.4816
Ni 0.1260 0.0000 0.7396
Ni 0.3759 0.5000 0.2604
Ni 0.3747 0.5000 0.4083
Ni 0.1250 0.0000 0.3712

Summary:
* volume: 294 Å³/f.u.
* theoretical density: 6.2 g/cm3
* energy above the most stable polymorph in this dataset: 40 meV per atom
* magnetization: 0.12 μB/atom
* space-group type: No. 11

---

[13]
The following is a PBE-GGA calculation of crystalline Ni15Bi at its relaxed geometry, from the Open Quantum Materials Database.

abc: 6.4494 2.6871 33.5813
angles: 90.00 90.00 90.00
Fractional coordinates of all 32 atoms:
Ni 0.8748 0.7500 0.5183
Ni 0.3745 0.7500 0.5927
Ni 0.8750 0.7500 0.2237
Ni 0.3749 0.7500 0.2965
Bi 0.3749 0.7500 0.2040
Ni 0.3821 0.7500 0.7424
Ni 0.8759 0.7500 0.6668
Ni 0.1241 0.2500 0.3332
Ni 0.6179 0.2500 0.2576
Ni 0.3752 0.7500 0.4446
Ni 0.8749 0.7500 0.3704
Bi 0.6251 0.2500 0.7960
Ni 0.6250 0.2500 0.6294
Ni 0.1250 0.2500 0.7763
Ni 0.1244 0.2500 0.4073
Ni 0.6251 0.2500 0.7035
Ni 0.6259 0.2500 0.3332
Ni 0.6248 0.2500 0.4817
Ni 0.1320 0.2500 0.2576
Ni 0.3752 0.7500 0.5183
Ni 0.3750 0.7500 0.3706
Ni 0.8751 0.7500 0.2955
Ni 0.8756 0.7500 0.5927
Ni 0.1249 0.2500 0.7045
Ni 0.3741 0.7500 0.6668
Ni 0.6255 0.2500 0.4073
Ni 0.1252 0.2500 0.4817
Ni 0.6248 0.2500 0.5554
Ni 0.8748 0.7500 0.4444
Ni 0.1252 0.2500 0.5556
Ni 0.1251 0.2500 0.6296
Ni 0.8680 0.7500 0.7424

Summary:
* volume: 291 Å³/f.u.
* theoretical density: 6.2 g/cm3
* energy above the most stable polymorph in this dataset: 119 meV per atom
* magnetization: 0.52 μB/atom
* space-group type: No. 11

---

[14]
The following is a PBE-GGA calculation of crystalline NiBi3 at its relaxed geometry, from the Open Quantum Materials Database.

abc: 5.3047 5.3047 5.3047
angles: 60.00 60.00 60.00
Fractional coordinates of all 4 atoms:
Bi 0.2500 0.2500 0.2500
Ni 0.7500 0.7500 0.7500
Bi 0.5000 0.5000 0.5000
Bi 0.0000 0.0000 0.0000

Summary:
* volume: 106 Å³/f.u.
* theoretical density: 10.8 g/cm3
* energy above the most stable polymorph in this dataset: 319 meV per atom
* magnetization: 0.00 μB/atom
* space-group type: No. 225

---

[15]
The following is a PBE-GGA calculation of crystalline Ni15Bi at its relaxed geometry, from the Open Quantum Materials Database.

abc: 4.9771 2.6335 39.5368
angles: 90.00 90.00 90.00
Fractional coordinates of all 32 atoms:
Ni 0.3749 0.2500 0.3945
Ni 0.3750 0.2500 0.5636
Ni 0.1250 0.7500 0.2681
Ni 0.1250 0.7500 0.5210
Bi 0.8750 0.2500 0.8345
Ni 0.6239 0.7500 0.6898
Ni 0.1250 0.7500 0.4364
Ni 0.8750 0.2500 0.5636
Ni 0.6250 0.7500 0.3522
Ni 0.3750 0.2500 0.4790
Ni 0.1250 0.7500 0.3521
Ni 0.6316 0.7500 0.7745
Ni 0.3750 0.2500 0.7326
Ni 0.3684 0.2500 0.2255
Ni 0.8739 0.2500 0.3102
Ni 0.1261 0.7500 0.6898
Ni 0.6250 0.7500 0.5210
Ni 0.1249 0.7500 0.6055
Ni 0.8817 0.2500 0.2255
Ni 0.6250 0.7500 0.4364
Ni 0.8750 0.2500 0.6479
Ni 0.6251 0.7500 0.6055
Ni 0.1183 0.7500 0.7745
Ni 0.6250 0.7500 0.1853
Ni 0.8751 0.2500 0.3945
Ni 0.3761 0.2500 0.3102
Ni 0.8750 0.2500 0.7319
Ni 0.3750 0.2500 0.6478
Ni 0.3750 0.2500 0.8147
Ni 0.8750 0.2500 0.4790
Ni 0.6250 0.7500 0.2674
Bi 0.1250 0.7500 0.1655

Summary:
* volume: 259 Å³/f.u.
* theoretical density: 7.0 g/cm3
* energy above the most stable polymorph in this dataset: 103 meV per atom
* magnetization: 0.22 μB/atom
* space-group type: No. 11

---

[16]
The following is a PBE-GGA calculation of crystalline Ni17Bi at its relaxed geometry, from the Open Quantum Materials Database.

abc: 4.9316 4.9316 31.1401
angles: 90.00 90.00 120.00
Fractional coordinates of all 36 atoms:
Ni 0.4998 0.9996 0.5645
Ni 0.5016 0.0031 0.7564
Ni 0.4995 0.5005 0.3713
Ni 0.3333 0.6667 0.4352
Ni 0.1683 0.3366 0.3060
Ni 0.8318 0.6636 0.2433
Ni 0.6701 0.8350 0.6941
Ni 0.6634 0.8317 0.3060
Ni 0.1667 0.8333 0.4998
Ni 0.3322 0.1661 0.6292
Ni 0.9969 0.4984 0.7564
Ni 0.5016 0.4984 0.7564
Ni 0.8339 0.1661 0.6292
Ni 0.3326 0.1663 0.4354
Ni 0.4995 0.9991 0.3713
Ni 0.1650 0.8350 0.6941
Ni 0.8337 0.6674 0.4354
Ni 0.8337 0.1663 0.4354
Ni 0.6667 0.3333 0.6924
Ni 0.1683 0.8317 0.3060
Ni 0.8339 0.6678 0.6292
Ni 0.3364 0.1682 0.2433
Ni 0.0000 0.0000 0.3699
Ni 0.4998 0.5002 0.5645
Ni 0.6667 0.3333 0.4998
Ni 0.0004 0.5002 0.5645
Bi 0.3333 0.6667 0.2079
Ni 0.6667 0.3333 0.3077
Ni 0.1650 0.3299 0.6941
Ni 0.0000 0.0000 0.5647
Ni 0.1667 0.3334 0.4998
Ni 0.8318 0.1682 0.2433
Ni 0.3333 0.6667 0.6302
Ni 0.0009 0.5005 0.3713
Ni 0.6666 0.8333 0.4998
Bi 0.0000 0.0000 0.7920

Summary:
* volume: 328 Å³/f.u.
* theoretical density: 6.1 g/cm3
* energy above the most stable polymorph in this dataset: 23 meV per atom
* magnetization: 0.02 μB/atom
* space-group type: No. 156

---

[17]
The following is a PBE-GGA calculation of crystalline NiBi3 at its relaxed geometry, from the Open Quantum Materials Database.

abc: 4.7233 4.7233 4.7233
angles: 90.00 90.00 90.00
Fractional coordinates of all 4 atoms:
Bi 0.5000 0.5000 0.0000
Ni 0.0000 0.0000 0.0000
Bi 0.0000 0.5000 0.5000
Bi 0.5000 0.0000 0.5000

Summary:
* volume: 105 Å³/f.u.
* theoretical density: 10.8 g/cm3
* energy above the most stable polymorph in this dataset: 296 meV per atom
* magnetization: 0.00 μB/atom
* space-group type: No. 221